# 1
# SrCaNi2, single point on PBEsol structure, DFT meta-GGA SCAN
# Calculated formation energy   -16 meV/atom
data_SrCaNi2
_cell_length_a 4.0703
_cell_length_b 4.2573
_cell_length_c 10.5586
_cell_angle_alpha 90.00
_cell_angle_beta 90.00
_cell_angle_gamma 90.00
_symmetry_space_group_name_H-M 'A m m 2'
_symmetry_Int_Tables_number 38
loop_
_symmetry_equiv_pos_as_xyz
'x,y,z'
'-x,-y,z'
'-x,y,z'
'x,-y,z'
'x,y+1/2,z+1/2'
'-x,-y+1/2,z+1/2'
'-x,y+1/2,z+1/2'
'x,-y+1/2,z+1/2'
loop_
_atom_site_label
_atom_site_fract_x
_atom_site_fract_y
_atom_site_fract_z
Sr1 0.0000 0.0000 0.0000
Ca1 0.5000 0.0000 0.2835
Ni1 0.0000 0.0000 0.6987
Ni2 0.5000 0.0000 0.6066

# 2
# Ca2TaNi, single point on PBEsol structure, DFT meta-GGA SCAN
# Energy above the most stable polymorph in this dataset   0.0000 eV per atom
# Calculated formation energy   331 meV/atom
data_Ca2TaNi
_cell_length_a 3.1899
_cell_length_b 3.7712
_cell_length_c 16.8340
_cell_angle_alpha 90.00
_cell_angle_beta 90.00
_cell_angle_gamma 90.00
_symmetry_space_group_name_H-M 'I m m m'
_symmetry_Int_Tables_number 71
_symmetry_space_group_name_Hall '-I 2 2'
loop_
_atom_site_label
_atom_site_fract_x
_atom_site_fract_y
_atom_site_fract_z
Ca1 0.0000 0.0000 0.1540
Ta1 0.0000 0.5000 0.0000
Ni1 0.0000 0.5000 0.5000

Q: Which formula does entry 1 have?
A: SrCaNi2

Q: What is the calculated formation energy in the second record?
A: 331 meV/atom